## 1
## Sc2SnAu2 (PBEsol)

Data for a geometry-optimized Sc2SnAu2 structure.

Computed properties:
symmetry: P4/mbm (127)
N(E_F): 0.43 states/eV/atom
crystal system: tetragonal

a b c (Å): 3.472 7.542 7.542
angles (deg): 90.00 90.00 90.00
Sites, in units of the cell vectors:
Sc1 0.500 0.168 0.668
Sc2 0.500 0.668 0.832
Sc3 0.500 0.832 0.332
Sc4 0.500 0.332 0.168
Au1 0.000 0.370 0.870
Au2 0.000 0.870 0.630
Au3 0.000 0.630 0.130
Au4 0.000 0.130 0.370
Sn1 0.000 0.000 0.000
Sn2 0.000 0.500 0.500

## 2
## Sc2SnAu2 (PBEsol)

Data for a geometry-optimized Sc2SnAu2 structure.

Computed properties:
symmetry: P4_2/mnm (136)
N(E_F): 0.36 states/eV/atom
crystal system: tetragonal

a b c (Å): 6.986 7.496 7.496
angles (deg): 90.00 90.00 90.00
Sites, in units of the cell vectors:
Sc1 0.000 0.148 0.148
Sc2 0.000 0.852 0.852
Sc3 0.500 0.648 0.352
Sc4 0.500 0.352 0.648
Sc5 0.000 0.688 0.312
Sc6 0.000 0.312 0.688
Sc7 0.500 0.812 0.812
Sc8 0.500 0.188 0.188
Sn1 0.250 0.500 0.000
Sn2 0.750 0.500 0.000
Sn3 0.250 0.000 0.500
Sn4 0.750 0.000 0.500
Au1 0.210 0.370 0.370
Au2 0.790 0.630 0.630
Au3 0.210 0.630 0.630
Au4 0.710 0.870 0.130
Au5 0.290 0.870 0.130
Au6 0.790 0.370 0.370
Au7 0.290 0.130 0.870
Au8 0.710 0.130 0.870

Verdict on stability: 2 comes out on top.

## 1
## ScTc2Au (PBEsol)

Data for a geometry-optimized ScTc2Au structure.

Computed properties:
symmetry: Pmmm (47)
N(E_F): 1.00 states/eV/atom
crystal system: orthorhombic

a b c (Å): 2.859 4.307 5.362
angles (deg): 90.00 90.00 90.00
Sites, in units of the cell vectors:
Au1 0.500 0.500 0.000
Sc1 0.500 0.500 0.500
Tc1 0.000 0.000 0.712
Tc2 0.000 0.000 0.288

## 2
## ScTc2Au (PBEsol)

Data for a geometry-optimized ScTc2Au structure.

Computed properties:
symmetry: P4/mmm (123)
N(E_F): 0.93 states/eV/atom
crystal system: tetragonal

a b c (Å): 3.825 3.825 4.272
angles (deg): 90.00 90.00 90.00
Sites, in units of the cell vectors:
Au1 0.500 0.500 0.500
Sc1 0.000 0.000 0.500
Tc1 0.000 0.500 0.000
Tc2 0.500 0.000 0.000

Verdict on stability: 2 comes out on top.

## 1
## ScW2Au (PBEsol)

Data for a geometry-optimized ScW2Au structure.

Computed properties:
symmetry: P4/mmm (123)
N(E_F): 0.56 states/eV/atom
crystal system: tetragonal

a b c (Å): 2.738 2.738 8.973
angles (deg): 90.00 90.00 90.00
Sites, in units of the cell vectors:
Au1 0.500 0.500 0.000
Sc1 0.500 0.500 0.500
W1 0.000 0.000 0.759
W2 0.000 0.000 0.241

## 2
## ScW2Au (PBEsol)

Data for a geometry-optimized ScW2Au structure.

Computed properties:
symmetry: R3m (160)
N(E_F): 0.87 states/eV/atom
crystal system: trigonal

a b c (Å): 2.845 2.845 9.774
angles (deg): 81.63 81.63 60.00
Sites, in units of the cell vectors:
Au1 0.499 0.499 0.502
Sc1 0.250 0.250 0.250
W1 0.001 0.001 0.997
W2 0.750 0.750 0.751

Verdict on stability: 1 comes out on top.

## 1
## ScW2Au (PBEsol)

Data for a geometry-optimized ScW2Au structure.

Computed properties:
symmetry: Fm-3m (225)
N(E_F): 1.31 states/eV/atom
crystal system: cubic

a b c (Å): 4.542 4.542 4.542
angles (deg): 60.00 60.00 60.00
Sites, in units of the cell vectors:
Au1 0.000 0.000 0.000
Sc1 0.500 0.500 0.500
W1 0.250 0.250 0.250
W2 0.750 0.750 0.750

## 2
## ScW2Au (PBEsol)

Data for a geometry-optimized ScW2Au structure.

Computed properties:
symmetry: Imm2 (44)
N(E_F): 0.94 states/eV/atom
crystal system: orthorhombic

a b c (Å): 3.550 4.518 5.100
angles (deg): 116.29 110.36 90.00
Sites, in units of the cell vectors:
Au1 0.496 0.496 0.992
Sc1 0.258 0.758 0.515
W1 0.014 0.014 0.027
W2 0.733 0.233 0.465

## 3
## ScW2Au (PBEsol)

Data for a geometry-optimized ScW2Au structure.

Computed properties:
symmetry: Pmm2 (25)
N(E_F): 0.74 states/eV/atom
crystal system: orthorhombic

a b c (Å): 2.784 4.046 6.001
angles (deg): 90.00 90.00 90.00
Sites, in units of the cell vectors:
Au1 0.000 0.000 0.506
Sc1 0.500 0.500 0.741
W1 0.000 0.000 0.018
W2 0.500 0.500 0.235

## 4
## ScW2Au (PBEsol)

Data for a geometry-optimized ScW2Au structure.

Computed properties:
symmetry: Cmm2 (35)
N(E_F): 0.82 states/eV/atom
crystal system: orthorhombic

a b c (Å): 2.787 2.787 9.056
angles (deg): 90.00 90.00 107.52
Sites, in units of the cell vectors:
Au1 0.000 0.000 0.504
Sc1 0.500 0.500 0.248
W1 0.000 0.000 0.991
W2 0.500 0.500 0.757

Verdict on stability: 4 comes out on top.

## 1
## YScAu (PBEsol)

Data for a geometry-optimized YScAu structure.

Computed properties:
symmetry: P3m1 (156)
N(E_F): 1.19 states/eV/atom
crystal system: trigonal

a b c (Å): 3.600 3.600 6.660
angles (deg): 90.00 90.00 120.00
Sites, in units of the cell vectors:
Au1 0.000 0.000 0.985
Sc1 0.333 0.667 0.718
Y1 0.667 0.333 0.297

## 2
## YScAu (PBEsol)

Data for a geometry-optimized YScAu structure.

Computed properties:
symmetry: F-43m (216)
N(E_F): 0.98 states/eV/atom
crystal system: cubic

a b c (Å): 4.680 4.680 4.680
angles (deg): 60.00 60.00 60.00
Sites, in units of the cell vectors:
Au1 0.000 0.000 0.000
Sc1 0.500 0.500 0.500
Y1 0.750 0.750 0.750

Verdict on stability: 1 comes out on top.

## 1
## Zr3ScAu (PBEsol)

Data for a geometry-optimized Zr3ScAu structure.

Computed properties:
symmetry: Pm-3m (221)
N(E_F): 0.95 states/eV/atom
crystal system: cubic

a b c (Å): 5.123 5.123 5.123
angles (deg): 90.00 90.00 90.00
Sites, in units of the cell vectors:
Sc1 0.500 0.500 0.500
Au1 0.000 0.000 0.000
Zr1 0.000 0.500 0.000
Zr2 0.000 0.000 0.500
Zr3 0.500 0.000 0.000

## 2
## Zr3ScAu (PBEsol)

Data for a geometry-optimized Zr3ScAu structure.

Computed properties:
symmetry: Pm-3m (221)
N(E_F): 1.37 states/eV/atom
crystal system: cubic

a b c (Å): 4.851 4.851 4.851
angles (deg): 90.00 90.00 90.00
Sites, in units of the cell vectors:
Sc1 0.000 0.000 0.000
Au1 0.500 0.500 0.500
Zr1 0.000 0.500 0.000
Zr2 0.000 0.000 0.500
Zr3 0.500 0.000 0.000

Verdict on stability: 1 comes out on top.